Here is TaAsAu after structural relaxation from the Alexandria database. Energies are from PBEsol.

Structure (CIF):
```
data_TaAsAu
_chemical_formula_sum 'Ta1 As1 Au1'
_cell_length_a 2.9578
_cell_length_b 4.5059
_cell_length_c 4.5059
_cell_angle_alpha 120.00
_cell_angle_beta 90.00
_cell_angle_gamma 90.00
_symmetry_space_group_name_H-M 'P 1'
_symmetry_Int_Tables_number 1
_symmetry_space_group_name_Hall 'P 1'
loop_
_atom_site_label
_atom_site_type_symbol
_atom_site_fract_x
_atom_site_fract_y
_atom_site_fract_z
Au1 Au 0.6666 0.6667 0.3333
As1 As 0.1668 0.0000 0.0000
Ta1 Ta 0.1666 0.3333 0.6667
```

Properties
DFT formation energy: 0.14 eV/atom
Electronic total energy: -21.16 eV/cell